! Ac2CoSe, optimized geometry, DFT PBE; values from VASP
! Size of the total moment: 0.587 μB/f.u.
! Electronic total energy: -0.3935 Ry per atom
! ΔE_f (raw): -0.6521 eV per atom
! ρ: 9.0 g/cm³
&SYSTEM
  ibrav = 0, nat = 4, ntyp = 3
/
ATOMIC_SPECIES
Ac 227.00 Ac.upf
Co 58.93 Co.upf
Se 78.96 Se.upf
CELL_PARAMETERS angstrom
3.741 0.000 0.000
0.000 3.741 0.000
0.000 0.000 7.784
ATOMIC_POSITIONS angstrom
Ac 0.000 0.000 1.814
Ac 0.000 0.000 5.971
Co 1.871 1.871 0.000
Se 1.871 1.871 3.892


! Ac2CoSe, optimized geometry, DFT PBE; values from VASP
! Size of the total moment: 0.562 μB/f.u.
! Electronic total energy: -0.4102 Ry per atom
! ΔE_f (raw): -0.8787 eV per atom
! ρ: 8.2 g/cm³
&SYSTEM
  ibrav = 0, nat = 16, ntyp = 3
/
ATOMIC_SPECIES
Ac 227.00 Ac.upf
Co 58.93 Co.upf
Se 78.96 Se.upf
CELL_PARAMETERS angstrom
4.422 0.000 0.000
0.000 25.210 0.000
0.000 0.000 4.324
ATOMIC_POSITIONS angstrom
Ac 0.000 1.604 1.081
Ac 0.000 7.975 1.081
Ac 0.000 17.235 3.243
Ac 0.000 23.606 3.243
Ac 2.211 4.630 3.243
Ac 2.211 11.001 3.243
Ac 2.211 14.209 1.081
Ac 2.211 20.580 1.081
Co 0.000 12.172 1.081
Co 0.000 13.039 3.243
Co 2.211 0.433 3.243
Co 2.211 24.777 1.081
Se 0.000 4.842 1.081
Se 0.000 20.369 3.243
Se 2.211 7.763 3.243
Se 2.211 17.447 1.081